## TaCd4Au (PBE)

Data for a relaxed structure of TaCd4Au.

Cell and atoms, written as extended XYZ:
```
6
Lattice="1.766 -4.356 -3.046 -3.717 -3.521 -2.270 -0.792 -0.045 -5.544" Properties=species:S:1:pos:R:3 pbc="T T T"
Au 0.000 0.000 0.000
Ta -2.057 -5.941 -8.145
Cd -1.030 -2.973 -4.077
Cd -0.149 -5.145 -5.595
Cd -2.883 -4.729 -5.208
Cd -1.424 -2.996 -6.841
```

Properties
Spin magnetization (μB/f.u.): 1.56
Density of states at the Fermi level (states/eV/f.u.): 5.0
DFT total energy (eV per cell): -15.45
Volume (Å³ per cell): 124.24
Crystal system: cubic



## Ta2CdAu (PBE)

Data for a relaxed structure of Ta2CdAu.

Cell and atoms, written as extended XYZ:
```
4
Lattice="-3.450 1.030 -2.267 -0.694 -2.864 -0.245 -3.823 -2.553 4.658" Properties=species:S:1:pos:R:3 pbc="T T T"
Ta -0.706 -2.865 -0.227
Ta -2.246 -2.708 2.188
Au -2.854 -0.839 -0.030
Cd -5.113 -3.548 2.176
```

Properties
Spin magnetization (μB/f.u.): 0.00
Density of states at the Fermi level (states/eV/f.u.): 3.3
DFT total energy (eV per cell): -27.17
Volume (Å³ per cell): 73.28
Crystal system: monoclinic



## TaCd2Au (PBE)

Data for a relaxed structure of TaCd2Au.

Cell and atoms, written as extended XYZ:
```
4
Lattice="-0.537 -2.726 0.894 2.247 0.695 3.470 -5.224 2.006 2.981" Properties=species:S:1:pos:R:3 pbc="T T T"
Au -2.955 0.448 4.356
Cd -5.214 2.002 2.976
Cd -0.479 -0.503 2.943
Ta -2.701 1.037 1.542
```

Properties
Spin magnetization (μB/f.u.): 0.00
Density of states at the Fermi level (states/eV/f.u.): 1.7
Excess energy over the best structure of this formula in the dataset (eV per formula unit): 0.486
Volume (Å³ per cell): 77.56
Crystal system: orthorhombic



## Ta2CdAu (PBE)

Data for a relaxed structure of Ta2CdAu.

Cell and atoms, written as extended XYZ:
```
8
Lattice="-4.315 5.957 1.910 -3.794 -4.337 4.956 -2.224 1.495 5.433" Properties=species:S:1:pos:R:3 pbc="T T T"
Au 0.000 0.000 0.000
Au -5.297 4.131 5.388
Cd -4.055 0.810 3.433
Cd -5.037 -1.016 6.911
Ta -3.816 3.677 3.210
Ta -8.842 2.451 10.183
Ta -3.379 -1.714 4.655
Ta -4.632 1.818 6.548
```

Properties
Spin magnetization (μB/f.u.): 0.00
Density of states at the Fermi level (states/eV/f.u.): 3.4
DFT total energy (eV per cell): -50.60
Volume (Å³ per cell): 161.52
Crystal system: tetragonal